Computed, not measured: crystalline Na2Cu2Te3 at its relaxed geometry at the PBE-GGA level of DFT.

ΔE_f (raw)	-0.42	eV/atom
size of the total moment	0.0	μB/f.u.
calculated volume	26.3	Å³/atom
VASP energy	-3.3159	eV per atom

```
data_Na2Cu2Te3
_symmetry_space_group_name_H-M 'C 1 2/m 1'
_symmetry_Int_Tables_number 12
_cell_length_a 17.7986
_cell_length_b 4.1783
_cell_length_c 12.4160
_cell_angle_alpha 90.00
_cell_angle_beta 127.09
_cell_angle_gamma 90.00
loop_
_symmetry_equiv_pos_as_xyz
'x,y,z'
'-x,-y,-z'
'-x,y,-z'
'x,-y,z'
'x+1/2,y+1/2,z'
'-x+1/2,-y+1/2,-z'
'-x+1/2,y+1/2,-z'
'x+1/2,-y+1/2,z'
loop_
_atom_site_label
_atom_site_type_symbol
_atom_site_fract_x
_atom_site_fract_y
_atom_site_fract_z
_atom_site_occupancy
Na1 Na 0.1124 0.0000 0.4376 1
Na2 Na 0.2231 0.0000 0.8327 1
Cu1 Cu 0.0044 0.5000 0.8158 1
Cu2 Cu 0.0785 0.0000 0.1481 1
Te1 Te 0.0519 0.5000 0.6451 1
Te2 Te 0.1033 0.0000 0.9554 1
Te3 Te 0.1747 0.5000 0.2993 1
```